(1)
Entry from the Alexandria database: a relaxed structure of RbTl3Zn4Cl12 (PBE-GGA).

Cell: 9.577 9.577 9.577 Å, 103.71 103.71 103.71°
Sites, in units of the cell vectors:
Rb  0.000  0.000  0.000
Tl  0.000  0.531  0.469
Tl  0.469  0.000  0.531
Tl  0.531  0.469  0.000
Zn  0.033  0.500  0.967
Zn  0.500  0.500  0.500
Zn  0.500  0.967  0.033
Zn  0.967  0.033  0.500
Cl  0.029  0.651  0.826
Cl  0.113  0.887  0.500
Cl  0.174  0.349  0.971
Cl  0.349  0.971  0.174
Cl  0.354  0.646  0.500
Cl  0.500  0.113  0.887
Cl  0.500  0.354  0.646
Cl  0.646  0.500  0.354
Cl  0.651  0.826  0.029
Cl  0.826  0.029  0.651
Cl  0.887  0.500  0.113
Cl  0.971  0.174  0.349

Values from the calculation:
**Formation energy from raw total energies**: -1.1582 eV/atom


(2)
Entry from the Alexandria database: a relaxed structure of YSi2P (PBE-GGA).

Cell: 3.949 4.778 4.161 Å, 90.00 93.01 90.00°
Sites, in units of the cell vectors:
Y  0.000  0.000  0.000
Si  0.274  0.500  0.671
Si  0.726  0.500  0.329
P  0.500  0.000  0.500

Values from the calculation:
**Formation energy from raw total energies**: -0.3088 eV/atom


(3)
Entry from the Alexandria database: a relaxed structure of LiIrF3 (PBE-GGA).

Cell: 4.257 4.257 4.257 Å, 90.00 90.00 90.00°
Sites, in units of the cell vectors:
Li  0.000  0.000  0.000
Ir  0.500  0.500  0.500
F  0.000  0.500  0.500
F  0.500  0.000  0.500
F  0.500  0.500  0.000

Values from the calculation:
**Formation energy from raw total energies**: -1.1245 eV/atom


(4)
Entry from the Alexandria database: a relaxed structure of Tb4YScS8 (PBE-GGA).

Cell: 8.003 8.003 8.003 Å, 60.03 60.03 60.03°
Sites, in units of the cell vectors:
Tb  0.000  0.000  0.000
Tb  0.378  0.378  0.865
Tb  0.378  0.865  0.378
Tb  0.865  0.378  0.378
Y  0.379  0.379  0.379
Sc  0.750  0.750  0.750
S  0.131  0.623  0.623
S  0.134  0.134  0.134
S  0.134  0.134  0.599
S  0.134  0.599  0.134
S  0.599  0.134  0.134
S  0.623  0.131  0.623
S  0.623  0.623  0.131
S  0.623  0.623  0.623

Values from the calculation:
**Formation energy from raw total energies**: -1.9255 eV/atom


(5)
Entry from the Alexandria database: a relaxed structure of RbZnHg4 (PBE-GGA).

Cell: 6.432 6.432 6.432 Å, 60.00 60.00 60.00°
Sites, in units of the cell vectors:
Rb  0.000  0.000  0.000
Zn  0.750  0.750  0.750
Hg  0.376  0.376  0.376
Hg  0.376  0.376  0.873
Hg  0.376  0.873  0.376
Hg  0.873  0.376  0.376

Values from the calculation:
**E_form**: -0.101 eV/f.u.


(6)
Entry from the Alexandria database: a relaxed structure of Pm2Rh3Pb2 (PBE-GGA).

Cell: 7.525 7.525 7.525 Å, 109.47 109.47 109.47°
Sites, in units of the cell vectors:
Pm  0.000  0.030  0.500
Pm  0.030  0.500  0.000
Pm  0.470  0.470  0.470
Pm  0.500  0.000  0.030
Rh  0.012  0.250  0.262
Rh  0.238  0.488  0.750
Rh  0.250  0.262  0.012
Rh  0.262  0.012  0.250
Rh  0.488  0.750  0.238
Rh  0.750  0.238  0.488
Pb  0.000  0.610  0.500
Pb  0.500  0.000  0.610
Pb  0.610  0.500  0.000
Pb  0.890  0.890  0.890

Values from the calculation:
**E_form**: -3.411 eV/f.u.


(7)
Entry from the Alexandria database: a relaxed structure of HfBeVIn2 (PBE-GGA).

Cell: 4.969 4.969 4.288 Å, 90.00 90.00 90.00°
Sites, in units of the cell vectors:
Hf  0.000  0.000  0.000
Be  0.500  0.500  0.000
V  0.500  0.500  0.500
In  0.000  0.500  0.500
In  0.500  0.000  0.500

Values from the calculation:
**E_form**: 4.502 eV/f.u.


(8)
Entry from the Alexandria database: a relaxed structure of CrReSe4 (PBE-GGA).

Cell: 5.601 5.601 5.601 Å, 60.00 60.00 60.00°
Sites, in units of the cell vectors:
Cr  0.000  0.000  0.000
Re  0.750  0.750  0.750
Se  0.376  0.376  0.376
Se  0.376  0.376  0.873
Se  0.376  0.873  0.376
Se  0.873  0.376  0.376

Values from the calculation:
**Formation energy from raw total energies**: 1.3710 eV/atom


(9)
Entry from the Alexandria database: a relaxed structure of TbSc5Al4 (PBE-GGA).

Cell: 3.360 3.360 18.674 Å, 90.00 90.00 90.00°
Sites, in units of the cell vectors:
Tb  0.000  0.000  0.000
Sc  0.500  0.500  0.132
Sc  0.500  0.500  0.317
Sc  0.500  0.500  0.500
Sc  0.500  0.500  0.683
Sc  0.500  0.500  0.868
Al  0.000  0.000  0.224
Al  0.000  0.000  0.408
Al  0.000  0.000  0.592
Al  0.000  0.000  0.776

Values from the calculation:
**E_form**: -3.530 eV/f.u.


(10)
Entry from the Alexandria database: a relaxed structure of SrCa2Te3 (PBE-GGA).

Cell: 4.596 6.525 13.798 Å, 90.00 90.00 90.00°
Sites, in units of the cell vectors:
Sr  0.000  0.000  0.000
Sr  0.500  0.500  0.500
Ca  0.000  0.000  0.334
Ca  0.000  0.000  0.666
Ca  0.500  0.500  0.166
Ca  0.500  0.500  0.834
Te  0.000  0.500  0.000
Te  0.000  0.500  0.326
Te  0.000  0.500  0.674
Te  0.500  0.000  0.174
Te  0.500  0.000  0.500
Te  0.500  0.000  0.826

Values from the calculation:
**Formation energy from raw total energies**: -1.6734 eV/atom


(11)
Entry from the Alexandria database: a relaxed structure of SrGeTe2I (PBE-GGA).

Cell: 5.529 5.529 5.756 Å, 90.00 90.00 90.00°
Sites, in units of the cell vectors:
Sr  0.000  0.000  0.000
Ge  0.500  0.500  0.500
Te  0.000  0.500  0.500
Te  0.500  0.000  0.500
I  0.500  0.500  0.000

Values from the calculation:
**Formation energy from raw total energies**: -0.5411 eV/atom


(12)
Entry from the Alexandria database: a relaxed structure of CsVS2 (PBE-GGA).

Cell: 4.027 4.027 25.715 Å, 90.00 90.00 120.00°
Sites, in units of the cell vectors:
Cs  0.000  0.000  0.000
Cs  0.333  0.667  0.667
Cs  0.667  0.333  0.333
V  0.000  0.000  0.498
V  0.333  0.667  0.165
V  0.667  0.333  0.831
S  0.000  0.000  0.137
S  0.000  0.000  0.582
S  0.333  0.667  0.248
S  0.333  0.667  0.803
S  0.667  0.333  0.470
S  0.667  0.333  0.915

Values from the calculation:
**Formation energy from raw total energies**: -0.6763 eV/atom


(13)
Entry from the Alexandria database: a relaxed structure of Nd4Y2Mg (PBE-GGA).

Cell: 6.006 3.706 11.048 Å, 90.00 99.62 90.00°
Sites, in units of the cell vectors:
Nd  0.044  0.000  0.204
Nd  0.439  0.500  0.751
Nd  0.561  0.500  0.249
Nd  0.956  0.000  0.796
Y  0.000  0.500  0.500
Y  0.500  0.000  0.500
Mg  0.500  0.000  0.000

Values from the calculation:
**E_form**: 0.833 eV/f.u.


(14)
Entry from the Alexandria database: a relaxed structure of TlTe2IF (PBE-GGA).

Cell: 5.959 5.959 6.008 Å, 90.00 90.00 90.00°
Sites, in units of the cell vectors:
Tl  0.000  0.000  0.000
Te  0.000  0.500  0.000
Te  0.500  0.000  0.000
I  0.000  0.000  0.500
F  0.500  0.500  0.500

Values from the calculation:
**Formation energy from raw total energies**: 0.3755 eV/atom


(15)
Entry from the Alexandria database: a relaxed structure of LiBRh3 (PBE-GGA).

Cell: 5.477 5.477 10.002 Å, 103.25 103.25 61.65°
Sites, in units of the cell vectors:
Li  0.052  0.781  0.863
Li  0.219  0.948  0.637
Li  0.781  0.052  0.363
Li  0.948  0.219  0.137
B  0.000  0.500  0.500
B  0.202  0.798  0.250
B  0.500  0.000  0.000
B  0.798  0.202  0.750
Rh  0.100  0.271  0.896
Rh  0.250  0.602  0.415
Rh  0.271  0.100  0.396
Rh  0.297  0.411  0.670
Rh  0.398  0.750  0.085
Rh  0.411  0.297  0.170
Rh  0.589  0.703  0.830
Rh  0.602  0.250  0.915
Rh  0.703  0.589  0.330
Rh  0.729  0.900  0.604
Rh  0.750  0.398  0.585
Rh  0.900  0.729  0.104

Values from the calculation:
**E_form**: -0.810 eV/f.u.


(16)
Entry from the Alexandria database: a relaxed structure of La2SnGeMo (PBE-GGA).

Cell: 5.383 5.383 5.226 Å, 90.00 90.00 90.00°
Sites, in units of the cell vectors:
La  0.000  0.500  0.000
La  0.500  0.000  0.000
Sn  0.000  0.000  0.500
Ge  0.500  0.500  0.500
Mo  0.000  0.000  0.000

Values from the calculation:
**E_form**: 0.566 eV/f.u.


(17)
Entry from the Alexandria database: a relaxed structure of Tb6PmTm3 (PBE-GGA).

Cell: 11.503 11.503 6.368 Å, 90.00 90.00 130.52°
Sites, in units of the cell vectors:
Tb  0.015  0.985  0.500
Tb  0.105  0.543  0.981
Tb  0.262  0.379  0.737
Tb  0.301  0.699  0.521
Tb  0.379  0.262  0.237
Tb  0.457  0.895  0.981
Tb  0.543  0.105  0.481
Tb  0.621  0.738  0.737
Tb  0.699  0.301  0.021
Tb  0.738  0.621  0.237
Tb  0.895  0.457  0.481
Tb  0.985  0.015  0.000
Pm  0.161  0.839  0.301
Pm  0.839  0.161  0.801
Tm  0.044  0.296  0.324
Tm  0.296  0.044  0.824
Tm  0.418  0.582  0.213
Tm  0.582  0.418  0.713
Tm  0.704  0.956  0.324
Tm  0.956  0.704  0.824

Values from the calculation:
**E_form**: 1.257 eV/f.u.


(18)
Entry from the Alexandria database: a relaxed structure of Tb3Pm4Y4 (PBE-GGA).

Cell: 3.538 5.668 18.336 Å, 98.86 95.52 90.00°
Sites, in units of the cell vectors:
Tb  0.000  0.000  0.000
Tb  0.137  0.637  0.274
Tb  0.863  0.363  0.726
Pm  0.320  0.820  0.640
Pm  0.454  0.453  0.908
Pm  0.546  0.547  0.092
Pm  0.680  0.180  0.360
Y  0.267  0.267  0.534
Y  0.410  0.908  0.819
Y  0.590  0.092  0.181
Y  0.733  0.733  0.466

Values from the calculation:
**E_form**: 0.566 eV/f.u.


(19)
Entry from the Alexandria database: a relaxed structure of Ag3BiPd12 (PBE-GGA).

Cell: 4.033 4.033 16.118 Å, 90.00 90.00 90.00°
Sites, in units of the cell vectors:
Ag  0.000  0.000  0.000
Ag  0.000  0.000  0.245
Ag  0.000  0.000  0.755
Bi  0.000  0.000  0.500
Pd  0.000  0.500  0.122
Pd  0.000  0.500  0.369
Pd  0.000  0.500  0.631
Pd  0.000  0.500  0.878
Pd  0.500  0.000  0.122
Pd  0.500  0.000  0.369
Pd  0.500  0.000  0.631
Pd  0.500  0.000  0.878
Pd  0.500  0.500  0.000
Pd  0.500  0.500  0.245
Pd  0.500  0.500  0.500
Pd  0.500  0.500  0.755

Values from the calculation:
**E_form**: -1.076 eV/f.u.


(20)
Entry from the Alexandria database: a relaxed structure of CoC3 (PBE-GGA).

Cell: 3.787 3.787 14.758 Å, 90.00 90.00 120.00°
Sites, in units of the cell vectors:
Co  0.000  0.000  0.000
Co  0.000  0.000  0.500
Co  0.333  0.667  0.250
Co  0.667  0.333  0.750
C  0.000  0.500  0.000
C  0.000  0.500  0.500
C  0.208  0.415  0.750
C  0.208  0.792  0.750
C  0.415  0.208  0.250
C  0.500  0.000  0.000
C  0.500  0.000  0.500
C  0.500  0.500  0.000
C  0.500  0.500  0.500
C  0.585  0.792  0.750
C  0.792  0.208  0.250
C  0.792  0.585  0.250

Values from the calculation:
**E_form**: 8.574 eV/f.u.


no.,size of the total moment (μB per formula unit)
1,0.00
2,0.00
3,0.54
4,0.81
5,0.00
6,0.00
7,0.00
8,0.29
9,0.00
10,0.00
11,0.00
12,2.00
13,0.00
14,3.32
15,0.00
16,0.00
17,0.00
18,0.00
19,0.00
20,0.87